Record 1
Sr2CaTl GGA-PBE optimized geometry; E_tot = -2.053 eV/atom; formation enthalpy at 0 K = -119.7 meV per atom; V = 43.38 Å³ per atom
1.0
2.052 1.184 11.902
-2.052 1.184 11.902
0.000 -2.369 11.902
Sr Ca Tl
2 1 1
Direct
0.000 0.000 0.000
0.191 0.191 0.191
0.762 0.762 0.762
0.595 0.595 0.595

Record 2
La4In2P GGA-PBE optimized geometry; E_tot = -4.963 eV/atom; formation enthalpy at 0 K = -592.5 meV per atom; V = 35.65 Å³ per atom
1.0
-2.811 2.811 7.896
2.811 -2.811 7.896
2.811 2.811 -7.896
La In P
4 2 1
Direct
0.000 0.500 0.500
0.179 0.179 0.000
0.500 0.000 0.500
0.821 0.821 0.000
0.382 0.382 0.000
0.618 0.618 0.000
0.000 0.000 0.000

Record 3
Ce5Ge2Ru GGA-PBE optimized geometry; E_tot = -6.582 eV/atom; formation enthalpy at 0 K = -559.3 meV per atom; V = 25.06 Å³ per atom
1.0
7.627 0.000 0.000
0.000 11.681 0.000
0.000 0.000 4.500
Ce Ge Ru
10 4 2
Direct
0.000 0.000 0.000
0.139 0.290 0.000
0.211 0.564 0.500
0.289 0.064 0.500
0.361 0.790 0.000
0.500 0.500 0.000
0.639 0.210 0.000
0.711 0.936 0.500
0.789 0.436 0.500
0.861 0.710 0.000
0.084 0.826 0.500
0.416 0.326 0.500
0.584 0.674 0.500
0.916 0.174 0.500
0.000 0.500 0.000
0.500 0.000 0.000

Record 4
Tb2DySc8 GGA-PBE optimized geometry; E_tot = -5.723 eV/atom; formation enthalpy at 0 K = 142.4 meV per atom; V = 27.26 Å³ per atom
1.0
4.367 -8.020 0.000
4.367 8.020 0.000
-3.451 0.000 4.281
Tb Dy Sc
2 1 8
Direct
0.191 0.809 0.000
0.809 0.191 0.000
0.500 0.500 0.500
0.003 0.003 0.246
0.148 0.403 0.777
0.298 0.702 0.500
0.403 0.148 0.777
0.597 0.852 0.223
0.702 0.298 0.500
0.852 0.597 0.223
0.997 0.997 0.754

Record 5
GeAs2Au2 GGA-PBE optimized geometry; E_tot = -3.813 eV/atom; formation enthalpy at 0 K = 281.7 meV per atom; V = 19.91 Å³ per atom
1.0
7.520 0.000 0.000
0.000 7.520 0.000
0.000 0.000 3.520
Ge As Au
2 4 4
Direct
0.000 0.000 0.000
0.500 0.500 0.000
0.170 0.330 0.500
0.330 0.830 0.500
0.670 0.170 0.500
0.830 0.670 0.500
0.136 0.636 0.000
0.364 0.136 0.000
0.636 0.864 0.000
0.864 0.364 0.000

Record 6
CeDyCu2Ge2 GGA-PBE optimized geometry; E_tot = -5.298 eV/atom; formation enthalpy at 0 K = -637.0 meV per atom; V = 19.90 Å³ per atom
1.0
4.248 0.000 0.000
-2.124 3.679 0.000
0.000 0.000 7.642
Ce Dy Cu Ge
1 1 2 2
Direct
0.000 0.000 0.000
0.000 0.000 0.500
0.333 0.667 0.262
0.667 0.333 0.738
0.333 0.667 0.746
0.667 0.333 0.254

> Number 5 is which compound?

GeAs2Au2

> Among the records above, which one has the lowest formation enthalpy at 0 K?

CeDyCu2Ge2

> Among the records above, which one has the highest V?

Sr2CaTl